Computed, not measured: a relaxed structure of MnInO3 at the GGA+U level of DFT.

Computed properties:
Electronic total energy ... -6.097 eV/atom
DOS at the Fermi energy ... 1.15 states/eV/f.u.
Symmetry ... Pm-3m
M_tot ... 3.504 μB/cell
Calculated volume ... 55.2 Å³ per cell

Cell lengths 3.8071, 3.8071, 3.8071 Å; angles 90.00, 90.00, 90.00 degrees
With the nearest neighbours (Å) after each atom.
Sites, in units of the cell vectors:
Mn 0.0000 0.0000 0.0000  6 O 1.90
In 0.5000 0.5000 0.5000  12 O 2.69
O 0.0000 0.0000 0.5000  2 Mn 1.90
O 0.0000 0.5000 0.0000  2 Mn 1.90
O 0.5000 0.0000 0.0000  2 Mn 1.90